Here is a crystal of SrZrCu relaxed with PBEsol from Alexandria via LeMat-Bulk. Energies are from SCAN.

Properties
E (eV/atom): -22.39
Distance to the lowest polymorph of the same formula (meV/atom): 0.0
ΔE_f (eV/atom): 0.34
Magnetic moment (μB/atom): 0.000

Structure (CIF):
```
data_SrZrCu
_cell_length_a 4.3491
_cell_length_b 4.3491
_cell_length_c 4.9044
_cell_angle_alpha 90.00
_cell_angle_beta 90.00
_cell_angle_gamma 120.00
_symmetry_space_group_name_H-M 'P -6 m 2'
_symmetry_Int_Tables_number 187
_symmetry_space_group_name_Hall 'P -6 2'
loop_
_atom_site_label
_atom_site_type_symbol
_atom_site_fract_x
_atom_site_fract_y
_atom_site_fract_z
Sr1 Sr 0.0000 0.0000 0.0000
Zr1 Zr 0.3333 0.6667 0.5000
Cu1 Cu 0.6667 0.3333 0.5000
```


Here is a crystal of SrCo2P2O8 relaxed with PBEsol from Alexandria via LeMat-Bulk. Energies are from SCAN.

Properties
E (eV/atom): -12.20
E_form (uncorrected) (meV/atom): -2387
Magnetic moment (μB/atom): 0.462

Structure (CIF):
```
data_SrCo2P2O8
_cell_length_a 4.976
_cell_length_b 8.568
_cell_length_c 9.279
_cell_angle_alpha 113.96
_cell_angle_beta 102.81
_cell_angle_gamma 93.00
_symmetry_space_group_name_H-M 'P -1'
_symmetry_Int_Tables_number 2
loop_
_symmetry_equiv_pos_as_xyz
'x,y,z'
'-x,-y,-z'
loop_
_atom_site_label
_atom_site_type_symbol
_atom_site_fract_x
_atom_site_fract_y
_atom_site_fract_z
Sr1 Sr 0.225 0.235 0.054
Co1 Co 0.154 0.411 0.699
Co2 Co 0.384 0.108 0.416
P1 P 0.110 0.780 0.690
P2 P 0.310 0.711 0.189
O1 O 0.010 0.336 0.840
O2 O 0.013 0.616 0.708
O3 O 0.035 0.936 0.822
O4 O 0.074 0.231 0.477
O5 O 0.355 0.760 0.055
O6 O 0.423 0.793 0.695
O7 O 0.426 0.870 0.362
O8 O 0.449 0.558 0.202
```


Here is a crystal of CuGe3Pt relaxed with PBEsol from Alexandria via LeMat-Bulk. Energies are from SCAN.

Properties
E (eV/atom): -27.91
ΔE_f (eV/atom): 0.62
Magnetic moment (μB/atom): 0.000

Structure (CIF):
```
data_CuGe3Pt
_cell_length_a 4.509
_cell_length_b 4.509
_cell_length_c 4.509
_cell_angle_alpha 90.00
_cell_angle_beta 90.00
_cell_angle_gamma 90.00
_symmetry_space_group_name_H-M 'P m -3 m'
_symmetry_Int_Tables_number 221
_symmetry_space_group_name_Hall '-P 4 2 3'
loop_
_atom_site_label
_atom_site_type_symbol
_atom_site_fract_x
_atom_site_fract_y
_atom_site_fract_z
Cu1 Cu 0.000 0.000 0.000
Ge1 Ge 0.000 0.000 0.500
Pt1 Pt 0.500 0.500 0.500
```


Here is a crystal of RbRe2Sb2 relaxed with PBEsol from Alexandria via LeMat-Bulk. Energies are from SCAN.

Properties
E (eV/atom): -47.05
E_form (uncorrected) (meV/atom): 445
Magnetic moment (μB/atom): 0.000

Structure (CIF):
```
data_RbRe2Sb2
_cell_length_a 4.981
_cell_length_b 4.981
_cell_length_c 9.464
_cell_angle_alpha 90.00
_cell_angle_beta 90.00
_cell_angle_gamma 90.00
_symmetry_space_group_name_H-M 'I 4/m m m'
_symmetry_Int_Tables_number 139
_symmetry_space_group_name_Hall '-I 4 2'
loop_
_atom_site_label
_atom_site_type_symbol
_atom_site_fract_x
_atom_site_fract_y
_atom_site_fract_z
Rb1 Rb 0.000 0.000 0.000
Re1 Re 0.000 0.000 0.380
Sb1 Sb 0.000 0.500 0.250
```


Here is a crystal of La2SiH2 relaxed with PBEsol from Alexandria via LeMat-Bulk. Energies are from SCAN.

Properties
E (eV/atom): -21.33
Distance to the lowest polymorph of the same formula (meV/atom): 0.0
Magnetic moment (μB/atom): 0.000

Structure (CIF):
```
data_La2SiH2
_cell_length_a 3.966
_cell_length_b 3.966
_cell_length_c 11.322
_cell_angle_alpha 90.00
_cell_angle_beta 90.00
_cell_angle_gamma 90.00
_symmetry_space_group_name_H-M 'I 4/m m m'
_symmetry_Int_Tables_number 139
_symmetry_space_group_name_Hall '-I 4 2'
loop_
_atom_site_label
_atom_site_type_symbol
_atom_site_fract_x
_atom_site_fract_y
_atom_site_fract_z
La1 La 0.000 0.000 0.137
Si1 Si 0.000 0.000 0.500
H1 H 0.000 0.500 0.250
```


Here is a crystal of SrYIO2 relaxed with PBEsol from Alexandria via LeMat-Bulk. Energies are from SCAN.

Properties
E (eV/atom): -22.08
E_form (uncorrected) (meV/atom): -2211
Magnetic moment (μB/atom): 0.000

Structure (CIF):
```
data_SrYIO2
_cell_length_a 4.458
_cell_length_b 4.458
_cell_length_c 5.751
_cell_angle_alpha 90.00
_cell_angle_beta 90.00
_cell_angle_gamma 90.00
_symmetry_space_group_name_H-M 'P 4/m m m'
_symmetry_Int_Tables_number 123
_symmetry_space_group_name_Hall '-P 4 2'
loop_
_atom_site_label
_atom_site_type_symbol
_atom_site_fract_x
_atom_site_fract_y
_atom_site_fract_z
Sr1 Sr 0.000 0.000 0.000
Y1 Y 0.500 0.500 0.500
I1 I 0.500 0.500 0.000
O1 O 0.000 0.500 0.500
```


Here is a crystal of HgP relaxed with PBEsol from Alexandria via LeMat-Bulk. Energies are from SCAN.

Properties
E (eV/atom): -39.24
Distance to the lowest polymorph of the same formula (meV/atom): 0.0
ΔE_f (eV/atom): 0.04
Magnetic moment (μB/atom): 0.000

Structure (CIF):
```
data_HgP
_cell_length_a 3.2221
_cell_length_b 3.2221
_cell_length_c 9.8770
_cell_angle_alpha 90.00
_cell_angle_beta 90.00
_cell_angle_gamma 120.00
_symmetry_space_group_name_H-M 'P -3 m 1'
_symmetry_Int_Tables_number 164
_symmetry_space_group_name_Hall '-P 3 2"'
loop_
_atom_site_label
_atom_site_type_symbol
_atom_site_fract_x
_atom_site_fract_y
_atom_site_fract_z
Hg1 Hg 0.3333 0.6667 0.1421
P1 P 0.3333 0.6667 0.5636
```


Here is a crystal of RbFeB2C relaxed with PBEsol from Alexandria via LeMat-Bulk. Energies are from SCAN.

Properties
E (eV/atom): -8.71
ΔE_f (eV/atom): 4.06
Magnetic moment (μB/atom): 0.594

Structure (CIF):
```
data_RbFeB2C
_cell_length_a 4.443
_cell_length_b 4.443
_cell_length_c 4.279
_cell_angle_alpha 90.00
_cell_angle_beta 90.00
_cell_angle_gamma 90.00
_symmetry_space_group_name_H-M 'P 4/m m m'
_symmetry_Int_Tables_number 123
_symmetry_space_group_name_Hall '-P 4 2'
loop_
_atom_site_label
_atom_site_type_symbol
_atom_site_fract_x
_atom_site_fract_y
_atom_site_fract_z
Rb1 Rb 0.000 0.000 0.000
Fe1 Fe 0.500 0.500 0.500
B1 B 0.000 0.500 0.000
C1 C 0.000 0.000 0.500
```